PaFe2AsO8 after structural relaxation, computed with PBE with a Hubbard U.

a b c (Å): 6.5663 6.5663 7.0014
angles (deg): 90.00 90.00 90.00
Closest atoms and distances in Å follow each position.
Space group I-4m2 (No. 119)
Inequivalent atoms, fractional coordinates:
Pa  0.0000  0.0000  0.0000 (multiplicity 2)  4 O 2.07
Fe  0.0000  0.0000  0.5000 (multiplicity 2)  4 O 1.94
Fe  0.0000  0.5000  0.7500 (multiplicity 2)  4 O 1.84
As  0.0000  0.5000  0.2500 (multiplicity 2)  4 O 1.90
O  0.0000  0.2174  0.3115 (multiplicity 8)  1 As 1.90, 1 Fe 1.94
O  0.0000  0.3101  0.9440 (multiplicity 8)  1 Fe 1.84

Computed properties:
- Spin magnetization: 19.20 μB/cell
- ρ: 6003 kg/m³
- Crystal system: tetragonal
- Energy: -170.03 eV/cell
- Density of states at the Fermi level: 1.648 states/eV/f.u.